[1]
Below is LaCrPb2 after structural relaxation, with properties calculated at the PBE level.

Results
energy of formation from the pure elements = 86 meV per atom
SG = Immm
DOS(E_F) = 0.68 states/eV/atom
magnetization = 0.793 μB/atom

a b c (Å): 6.264 6.264 6.264
angles (deg): 146.98 123.91 66.65
Site moments in Bohr magnetons follow the coordinates.
Sites, in units of the cell vectors:
Cr  0.250  0.750  0.500  -3.49
La  0.750  0.250  0.500  0.24
Pb  0.029  0.029  0.000  0.05
Pb  0.471  0.471  0.000  0.05


[2]
Below is AlInPb2Se5 after structural relaxation, with properties calculated at the PBE level.

Results
SG = Cmc2_1
ΔE_f (raw) = -0.58 eV/atom
magnetization = 0.000 μB/atom

a b c (Å): 3.979 9.217 13.707
angles (deg): 90.00 90.00 102.47
Sites, in units of the cell vectors:
Al  0.791  0.583  0.528
Al  0.209  0.417  0.028
In  0.553  0.107  0.933
In  0.447  0.893  0.433
Pb  0.865  0.730  0.810
Pb  0.122  0.244  0.657
Pb  0.135  0.270  0.310
Pb  0.878  0.756  0.157
Se  0.350  0.700  0.008
Se  0.699  0.397  0.902
Se  0.486  0.972  0.770
Se  0.285  0.570  0.660
Se  0.941  0.883  0.556
Se  0.650  0.300  0.508
Se  0.301  0.603  0.402
Se  0.514  0.028  0.270
Se  0.715  0.430  0.160
Se  0.059  0.117  0.056


[3]
Below is NaS2Cl after structural relaxation, with properties calculated at the PBE level.

Results
SG = P-1
DOS(E_F) = 0.29 states/eV/atom
energy above the lowest structure with this stoichiometry = 0.0 meV/atom
ΔE_f (raw) = -0.76 eV/atom
magnetization = 0.000 μB/atom

a b c (Å): 4.043 4.047 12.955
angles (deg): 99.32 81.55 88.73
Sites, in units of the cell vectors:
Na  0.199  0.307  0.606
Na  0.801  0.693  0.394
S  0.882  0.612  0.894
S  0.118  0.388  0.106
S  0.219  0.277  0.894
S  0.781  0.723  0.106
Cl  0.694  0.812  0.616
Cl  0.306  0.188  0.384


[4]
Below is NaZrCo2H after structural relaxation, with properties calculated at the PBE level.

Results
SG = P4/mmm
DOS(E_F) = 1.58 states/eV/atom
energy above the lowest structure with this stoichiometry = 1267.8 meV/atom
magnetization = 0.088 μB/atom

a b c (Å): 4.495 7.117 4.495
angles (deg): 90.00 90.00 90.00
Site moments in Bohr magnetons follow the coordinates.
Sites, in units of the cell vectors:
Na  0.000  0.500  0.000  0.00
Co  0.000  0.000  0.500  0.56
Co  0.500  0.000  0.000  0.32
Zr  0.000  0.000  0.000  -0.24
H  0.500  0.500  0.500  -0.01


Record order is preserved below.
Total DFT energy (no corrections): -5.406 -4.057 -3.618 -3.851 eV per atom
Record order is preserved below.
Mass density: 9.16 6.43 1.97 2.69 g cm⁻³